# 1
An optimized crystal structure of TlFeCu2, computed with PBE.

Cell lengths 4.3904, 4.3904, 4.3904 Å; angles 60.00, 60.00, 60.00 degrees
Last column: nearest neighbours and their distance in Å.
Sites, in units of the cell vectors:
1 Cu 0.0000 0.0000 0.0000  4 Fe 2.69, 4 Cu 2.69
2 Cu 0.7500 0.7500 0.7500  4 Tl 2.69, 4 Cu 2.69
3 Fe 0.2500 0.2500 0.2500  4 Tl 2.69, 4 Cu 2.69
4 Tl 0.5000 0.5000 0.5000  4 Cu 2.69, 4 Fe 2.69

Summary:
Magnetic moment in μB per atom: 0.67
Space group: F-43m (216)


# 2
An optimized crystal structure of HoCo2GeB, computed with PBE.

Cell lengths 5.4767, 5.4767, 5.4767 Å; angles 140.03, 140.03, 57.80 degrees
Last column: nearest neighbours and their distance in Å.
Sites, in units of the cell vectors:
1 B 0.6410 0.6410 0.0000  4 Co 2.07
2 Co 0.7342 0.2342 0.5000  2 B 2.07
3 Co 0.2342 0.7342 0.5000  2 B 2.07
4 Ge 0.3801 0.3801 0.0000  4 Co 2.34, 1 B 2.50
5 Ho 0.0106 0.0106 0.0000  4 Co 2.85, 4 B 2.93, 4 Ge 2.93

Summary:
Magnetic moment in μB per atom: 0.00
Space group: I4mm (107)


# 3
An optimized crystal structure of DySi2OsPd, computed with PBE.

Cell lengths 5.7968, 5.7968, 5.7968 Å; angles 138.80, 138.80, 59.67 degrees
Last column: nearest neighbours and their distance in Å.
Sites, in units of the cell vectors:
1 Dy 0.2500 0.7500 0.5000  8 Si 3.13, 4 Pd 3.24, 4 Os 3.24
2 Os 0.5000 0.5000 0.0000  4 Si 2.42
3 Pd 0.0000 0.0000 0.0000  4 Si 2.42
4 Si 0.6302 0.1302 0.5000  1 Si 2.41, 2 Os 2.42, 2 Pd 2.42
5 Si 0.8698 0.3698 0.5000  1 Si 2.41, 2 Os 2.42, 2 Pd 2.42

Summary:
Magnetic moment in μB per atom: 0.00
Space group: I-4m2 (119)


# 4
An optimized crystal structure of Tb3Fe, computed with PBE.

Cell lengths 5.1238, 5.1238, 5.1238 Å; angles 60.00, 60.00, 60.00 degrees
Last column: nearest neighbours and their distance in Å.
Sites, in units of the cell vectors:
1 Fe 0.7500 0.7500 0.7500  8 Tb 3.14
2 Tb 0.0000 0.0000 0.0000  4 Tb 3.14, 4 Fe 3.14
3 Tb 0.2500 0.2500 0.2500  8 Tb 3.14
4 Tb 0.5000 0.5000 0.5000  4 Fe 3.14, 4 Tb 3.14

Summary:
Magnetic moment in μB per atom: 0.00
Space group: Fm-3m (225)


# 5
An optimized crystal structure of LiTl2MoCl6, computed with PBE.

Cell lengths 7.0399, 7.0399, 7.0399 Å; angles 60.00, 60.00, 60.00 degrees
Last column: nearest neighbours and their distance in Å.
Sites, in units of the cell vectors:
1 Cl 0.7455 0.2545 0.2545  1 Mo 2.44, 1 Li 2.53
2 Cl 0.2545 0.7455 0.2545  1 Mo 2.44, 1 Li 2.53
3 Cl 0.7455 0.7455 0.2545  1 Mo 2.44, 1 Li 2.53
4 Cl 0.2545 0.2545 0.7455  1 Mo 2.44, 1 Li 2.53
5 Cl 0.7455 0.2545 0.7455  1 Mo 2.44, 1 Li 2.53
6 Cl 0.2545 0.7455 0.7455  1 Mo 2.44, 1 Li 2.53
7 Li 0.0000 0.0000 0.0000  6 Cl 2.53
8 Mo 0.5000 0.5000 0.5000  6 Cl 2.44
9 Tl 0.2500 0.2500 0.2500  12 Cl 3.52
10 Tl 0.7500 0.7500 0.7500  12 Cl 3.52

Summary:
Magnetic moment in μB per atom: 0.30
Space group: Fm-3m (225)


# 6
An optimized crystal structure of ScB4Mo, computed with PBE.

Cell lengths 3.0732, 3.0732, 6.7797 Å; angles 90.00, 90.00, 120.00 degrees
Last column: nearest neighbours and their distance in Å.
Sites, in units of the cell vectors:
1 B 0.6667 0.3333 0.2576  3 B 1.77
2 B 0.3333 0.6667 0.2576  3 B 1.77
3 B 0.6667 0.3333 0.7424  3 B 1.77
4 B 0.3333 0.6667 0.7424  3 B 1.77
5 Mo 0.0000 0.0000 0.5000  12 B 2.42
6 Sc 0.0000 0.0000 0.0000  12 B 2.49

Summary:
Magnetic moment in μB per atom: 0.00
Space group: P6/mmm (191)


# 7
An optimized crystal structure of SrZnCdAu2, computed with PBE.

Cell lengths 6.9875, 6.9875, 6.9875 Å; angles 143.76, 143.76, 52.18 degrees
Last column: nearest neighbours and their distance in Å.
Sites, in units of the cell vectors:
1 Au 0.3892 0.3892 0.0000  1 Au 2.78, 2 Cd 2.79, 2 Zn 2.79
2 Au 0.6108 0.6108 0.0000  1 Au 2.78, 2 Cd 2.79, 2 Zn 2.79
3 Cd 0.2500 0.7500 0.5000  4 Au 2.79, 4 Zn 3.07
4 Sr 0.0000 0.0000 0.0000  8 Au 3.37
5 Zn 0.7500 0.2500 0.5000  4 Au 2.79, 4 Cd 3.07

Summary:
Space group: I-4m2 (119)


# 8
An optimized crystal structure of DyYTm2Mg2, computed with PBE.

Cell lengths 5.4419, 8.8021, 8.8021 Å; angles 23.72, 90.00, 90.00 degrees
Last column: nearest neighbours and their distance in Å.
Sites, in units of the cell vectors:
1 Dy 0.0000 0.4046 0.4046  6 Mg 3.30-3.31, 4 Tm 3.53-3.57, 2 Dy 3.62
2 Mg 0.0000 0.0645 0.0645  2 Dy 3.30, 4 Y 3.31, 2 Tm 3.32, 4 Mg 3.51-3.62
3 Mg 0.5000 0.9355 0.9355  2 Y 3.29, 4 Dy 3.31, 2 Tm 3.32, 4 Mg 3.51-3.62
4 Tm 0.5000 0.2740 0.2740  2 Mg 3.32, 6 Tm 3.37-3.62, 2 Dy 3.53, 2 Y 3.57
5 Tm 0.0000 0.7262 0.7262  2 Mg 3.32, 6 Tm 3.37-3.62, 2 Y 3.54, 2 Dy 3.57
6 Y 0.5000 0.5951 0.5951  6 Mg 3.29-3.31, 4 Tm 3.54-3.57, 2 Y 3.62

Summary:
Magnetic moment in μB per atom: 0.00
Space group: Amm2 (38)


# 9
An optimized crystal structure of SrSc2Zn, computed with PBE.

Cell lengths 5.2722, 5.2722, 5.2722 Å; angles 60.00, 60.00, 60.00 degrees
Last column: nearest neighbours and their distance in Å.
Sites, in units of the cell vectors:
1 Sc 0.0000 0.0000 0.0000  4 Sr 3.23, 4 Sc 3.23
2 Sc 0.2500 0.2500 0.2500  4 Zn 3.23, 4 Sc 3.23
3 Sr 0.7500 0.7500 0.7500  4 Zn 3.23, 4 Sc 3.23
4 Zn 0.5000 0.5000 0.5000  4 Sc 3.23, 4 Sr 3.23

Summary:
Magnetic moment in μB per atom: 0.03
Space group: F-43m (216)


# 10
An optimized crystal structure of ThAlNi, computed with PBE.

Cell lengths 7.0308, 7.0308, 4.0882 Å; angles 90.00, 90.00, 120.00 degrees
Last column: nearest neighbours and their distance in Å.
Sites, in units of the cell vectors:
1 Al 0.2299 0.0000 0.0000  4 Ni 2.61-2.78, 2 Al 2.80
2 Al 0.0000 0.2299 0.0000  4 Ni 2.61-2.78, 2 Al 2.80
3 Al 0.7701 0.7701 0.0000  4 Ni 2.61-2.78, 2 Al 2.80
4 Ni 0.6667 0.3333 0.0000  3 Al 2.78, 6 Th 2.93
5 Ni 0.3333 0.6667 0.0000  3 Al 2.78, 6 Th 2.93
6 Ni 0.0000 0.0000 0.5000  6 Al 2.61
7 Th 0.5790 0.0000 0.5000  5 Ni 2.93-2.96, 6 Al 3.19-3.28
8 Th 0.4210 0.4210 0.5000  5 Ni 2.93-2.96, 6 Al 3.19-3.28
9 Th 0.0000 0.5790 0.5000  5 Ni 2.93-2.96, 6 Al 3.19-3.28

Summary:
Magnetic moment in μB per atom: 0.00
Space group: P-62m (189)


# 11
An optimized crystal structure of Cd2P, computed with PBE.

Cell lengths 5.6101, 5.6101, 5.6101 Å; angles 60.00, 60.00, 60.00 degrees
Last column: nearest neighbours and their distance in Å.
Sites, in units of the cell vectors:
1 Cd 0.6250 0.6250 0.1250  6 Cd 2.81
2 Cd 0.6250 0.1250 0.6250  6 Cd 2.81
3 Cd 0.1250 0.6250 0.6250  6 Cd 2.81
4 Cd 0.6250 0.6250 0.6250  6 Cd 2.81
5 P 0.0000 0.0000 0.0000  12 Cd 3.29, 4 P 3.44
6 P 0.2500 0.2500 0.2500  12 Cd 3.29, 4 P 3.44

Summary:
Space group: Fd-3m (227)


Number 1: DFT total energy -4.104 eV per atom. Number 2: DFT total energy -6.563 eV per atom. Number 3: DFT total energy -7.183 eV per atom. Number 4: DFT total energy -5.109 eV per atom. Number 5: DFT total energy -3.956 eV per atom. Number 6: DFT total energy -7.984 eV per atom. Number 7: DFT total energy -2.577 eV per atom. Number 8: DFT total energy -3.916 eV per atom. Number 9: DFT total energy -3.670 eV per atom. Number 10: DFT total energy -6.185 eV per atom. Number 11: DFT total energy -1.828 eV per atom.